Below is YFeP2 after structural relaxation, with properties calculated at the GGA-PBE level.

a = 3.7714 Å, b = 3.8417 Å, c = 4.7546 Å
α = 90.00°, β = 90.00°, γ = 90.00°
Closest atoms and distances in Å follow each position.
Space group Pmmm (No. 47)
Unique sites:
Y1 0.0000 0.0000 0.0000 [1 per cell]  8 P 2.93, 4 Fe 3.06
Fe1 0.0000 0.5000 0.5000 [1 per cell]  4 P 2.24
P1 0.5000 0.5000 0.2452 [2 per cell]  2 Fe 2.24, 2 P 2.33-2.42

E_tot   -28.69 eV for the cell shown
ΔE_f   -0.736 eV per atom

---

Below is YFeP after structural relaxation, with properties calculated at the GGA-PBE level.

a = 3.1282 Å, b = 3.1282 Å, c = 10.0674 Å
α = 90.00°, β = 90.00°, γ = 90.00°
Closest atoms and distances in Å follow each position.
Space group I4mm (No. 107)
Unique sites:
Y1 0.0000 0.0000 0.0000 [2 per cell]  5 Fe 2.95-3.04, 5 P 2.95-3.04, 4 Y 3.13
Fe1 0.0000 0.0000 0.2927 [2 per cell]  4 P 2.38
P1 0.0000 0.0000 0.7067 [2 per cell]  4 Fe 2.38

E_tot   -43.17 eV for the cell shown
ΔE_f   -0.417 eV per atom

---

Below is YFeP2 after structural relaxation, with properties calculated at the GGA-PBE level.

a = 6.4305 Å, b = 6.4305 Å, c = 6.4305 Å
α = 90.00°, β = 90.00°, γ = 90.00°
Closest atoms and distances in Å follow each position.
Space group Fm-3m (No. 225)
Unique sites:
Y1 0.0000 0.0000 0.0000 [4 per cell]  8 P 2.78
Fe1 0.0000 0.0000 0.5000 [4 per cell]  8 P 2.78
P1 0.2500 0.2500 0.2500 [8 per cell]  4 Fe 2.78, 4 Y 2.78

E_tot   -107.77 eV for the cell shown
ΔE_f   -0.299 eV per atom

---

Below is YFe5P3 after structural relaxation, with properties calculated at the GGA-PBE level.

a = 11.8280 Å, b = 3.6538 Å, c = 10.3086 Å
α = 90.00°, β = 90.00°, γ = 90.00°
Closest atoms and distances in Å follow each position.
Space group Pnma (No. 62)
Unique sites:
Y1 0.2043 0.2500 0.0806 [4 per cell]  6 P 2.80-2.88, 10 Fe 2.95-3.11
Fe1 0.0093 0.7500 0.0951 [4 per cell]  4 P 2.25-2.31
Fe2 0.0108 0.7500 0.7079 [4 per cell]  3 P 2.25-2.47
Fe3 0.0674 0.7500 0.4633 [4 per cell]  4 P 2.15-2.24
Fe4 0.1764 0.2500 0.7803 [4 per cell]  4 P 2.23-2.36
Fe5 0.2018 0.2500 0.3751 [4 per cell]  4 P 2.32-2.34, 4 Fe 2.52-2.59
P1 0.1031 0.7500 0.8989 [4 per cell]  7 Fe 2.25-2.36
P2 0.1125 0.2500 0.5771 [4 per cell]  5 Fe 2.17-2.34
P3 0.1278 0.7500 0.2662 [4 per cell]  5 Fe 2.15-2.32

E_tot   -286.54 eV for the cell shown
ΔE_f   -0.736 eV per atom

---

Below is YFeP2 after structural relaxation, with properties calculated at the GGA-PBE level.

a = 3.9116 Å, b = 4.2864 Å, c = 4.3211 Å
α = 90.00°, β = 90.07°, γ = 90.00°
Closest atoms and distances in Å follow each position.
Space group Pm (No. 6)
Unique sites:
Y1 0.0000 0.0000 0.0000 [1 per cell]  8 P 2.88-2.98
Fe1 0.5026 0.5000 0.3325 [1 per cell]  4 P 2.12-2.27
P1 0.4987 0.0000 0.5090 [1 per cell]  2 Fe 2.27
P2 0.5001 0.5000 0.8418 [1 per cell]  2 Fe 2.12-2.20

E_tot   -28.21 eV for the cell shown
ΔE_f   -0.615 eV per atom

---

Below is Y2FeP after structural relaxation, with properties calculated at the GGA-PBE level.

a = 4.0099 Å, b = 4.0099 Å, c = 10.2750 Å
α = 90.00°, β = 90.00°, γ = 90.00°
Closest atoms and distances in Å follow each position.
Space group I-4m2 (No. 119)
Unique sites:
Y1 0.0000 0.0000 0.0000 [2 per cell]  4 P 2.84
Y2 0.0000 0.5000 0.2500 [2 per cell]  4 Fe 2.84
Fe1 0.0000 0.5000 0.7500 [2 per cell]  4 Y 2.84
P1 0.0000 0.0000 0.5000 [2 per cell]  4 Y 2.84

E_tot   -56.10 eV for the cell shown
ΔE_f   -0.312 eV per atom

---

Below is Y2FeP after structural relaxation, with properties calculated at the GGA-PBE level.

a = 7.2314 Å, b = 7.2314 Å, c = 6.6104 Å
α = 90.00°, β = 90.00°, γ = 90.00°
Closest atoms and distances in Å follow each position.
Space group I-42d (No. 122)
Unique sites:
Y1 0.2362 0.2500 0.1250 [8 per cell]  2 Fe 2.62, 2 P 2.75
Fe1 0.0000 0.0000 0.0000 [4 per cell]  4 Y 2.62
P1 0.0000 0.0000 0.5000 [4 per cell]  4 Y 2.75

E_tot   -107.46 eV for the cell shown
ΔE_f   -0.016 eV per atom

---

Below is YFeP2 after structural relaxation, with properties calculated at the GGA-PBE level.

a = 3.2346 Å, b = 3.2346 Å, c = 6.1421 Å
α = 90.00°, β = 90.00°, γ = 90.00°
Closest atoms and distances in Å follow each position.
Space group P4mm (No. 99)
Unique sites:
Y1 0.0000 0.0000 0.0000 [1 per cell]  5 P 2.83-2.96
Fe1 0.5000 0.5000 0.3631 [1 per cell]  5 P 2.25-2.40
P1 0.0000 0.0000 0.4822 [1 per cell]  4 Fe 2.40
P2 0.5000 0.5000 0.7287 [1 per cell]  1 Fe 2.25

E_tot   -27.13 eV for the cell shown
ΔE_f   -0.347 eV per atom